Here is Er4TmPt2 after structural relaxation from the Alexandria database. Energies are from PBE.

a b c (Å): 4.7842 4.7842 29.5745
angles (deg): 90.00 90.00 120.00
Space group R-3m (No. 166, hexagonal axes)
Inequivalent atoms, fractional coordinates:
Er (0.0000, 0.0000, 0.0989) x6
Er (0.0000, 0.0000, 0.2996) x6
Tm (0.0000, 0.0000, 0.5000) x3
Pt (0.0000, 0.0000, 0.3999) x6

Properties
- Formation enthalpy at 0 K: -0.63 eV per atom
- Spin magnetization: 0.0 Bohr magnetons per cell


Here is LiAcMgPd after structural relaxation from the Alexandria database. Energies are from PBE.

a b c (Å): 7.252 7.252 7.252
angles (deg): 90.00 90.00 90.00
Space group F-43m (No. 216)
Inequivalent atoms, fractional coordinates:
Li (0.000, 0.000, 0.000) x4
Ac (0.250, 0.250, 0.750) x4
Mg (0.250, 0.250, 0.250) x4
Pd (0.000, 0.000, 0.500) x4

Properties
- Formation enthalpy at 0 K: -0.32 eV per atom
- Spin magnetization: 0.0 Bohr magnetons per cell


Here is KY2Fe after structural relaxation from the Alexandria database. Energies are from PBE.

a b c (Å): 4.544 4.984 5.035
angles (deg): 90.00 90.00 90.00
Space group Pmmm (No. 47)
Inequivalent atoms, fractional coordinates:
K (0.000, 0.000, 0.000) x1
Y (0.500, 0.000, 0.500) x1
Y (0.500, 0.500, 0.000) x1
Fe (0.000, 0.500, 0.500) x1

Properties
- Formation enthalpy at 0 K: 0.84 eV per atom
- E above lowest polymorph: 243 kJ/mol of formula units
- Spin magnetization: 1.2 Bohr magnetons per cell


Here is La2ZnCdH after structural relaxation from the Alexandria database. Energies are from PBE.

a b c (Å): 5.254 5.254 4.121
angles (deg): 90.00 90.00 90.00
Space group P4/mmm (No. 123)
Inequivalent atoms, fractional coordinates:
La (0.000, 0.500, 0.000) x2
Zn (0.000, 0.000, 0.500) x1
Cd (0.500, 0.500, 0.500) x1
H (0.000, 0.000, 0.000) x1

Properties
- E above lowest polymorph: 0 kJ/mol of formula units
- Spin magnetization: 0.0 Bohr magnetons per cell